The following is a PBE with a Hubbard U calculation of a relaxed MnCrSb2O8 crystal, from Alexandria.

Unit cell a=4.7332 b=4.7332 c=6.1827 alpha=90.00 beta=90.00 gamma=93.15
Fractional coordinates of all 12 atoms:
Mn (0.0000, 0.0000, 0.0000)
Cr (0.0000, 0.0000, 0.5000)
Sb (0.5000, 0.5000, 0.2480)
Sb (0.5000, 0.5000, 0.7520)
O (0.1932, 0.1932, 0.2482)
O (0.1932, 0.1932, 0.7518)
O (0.3079, 0.6921, 0.5000)
O (0.3119, 0.6881, 0.0000)
O (0.6881, 0.3119, 0.0000)
O (0.6921, 0.3079, 0.5000)
O (0.8068, 0.8068, 0.2482)
O (0.8068, 0.8068, 0.7518)

Calculated values
The total energy comes out at -6.81 eV per atom. The calculation puts the mass density at 5.74 Mg/m³.